Record 1
Entry from Alexandria: a relaxed NdHo2Tl9 crystal (GGA-PBE).

Cell lengths 4.786, 4.786, 14.355 Å; angles 90.00, 90.00, 90.00 degrees
Space group P4/mmm (No. 123)
One atom of each set of equivalent atoms:
Nd  0.000  0.000  0.000 x1
Ho  0.000  0.000  0.335 x2
Tl  0.000  0.500  0.170 x4
Tl  0.000  0.500  0.500 x2
Tl  0.500  0.500  0.000 x1
Tl  0.500  0.500  0.335 x2

Summary:
**E_tot**: -3.19 eV/atom
**Energy of formation from the pure elements**: -251 meV/atom
**Size of the total moment**: 0.000 μB/cell

=====

Record 2
Entry from Alexandria: a relaxed Cd2HgAs crystal (GGA-PBE).

Cell lengths 4.3474, 4.3474, 18.3300 Å; angles 90.00, 90.00, 120.00 degrees
Space group R3m (No. 160, hexagonal axes)
One atom of each set of equivalent atoms:
Cd  0.0000  0.0000  0.0000 x3
Cd  0.0000  0.0000  0.1868 x3
Hg  0.0000  0.0000  0.7646 x3
As  0.0000  0.0000  0.5969 x3

Summary:
**ΔE to the lowest computed polymorph**: 0.000 eV/atom
**E_tot**: -1.68 eV/atom
**Energy of formation from the pure elements**: 14 meV/atom
**Size of the total moment**: 0.000 μB/cell